VASP calculation (GGA-PBE) on an optimized crystal structure of Y5TmMg4.

Unit cell a=3.751 b=3.751 c=20.137 alpha=90.00 beta=90.00 gamma=90.00
Sites, in units of the cell vectors:
Y  0.000  0.000  0.000
Y  0.000  0.000  0.191
Y  0.000  0.000  0.384
Y  0.000  0.000  0.616
Y  0.000  0.000  0.809
Tm  0.500  0.500  0.500
Mg  0.500  0.500  0.096
Mg  0.500  0.500  0.287
Mg  0.500  0.500  0.713
Mg  0.500  0.500  0.904

Properties
Formation enthalpy at 0 K = -74 meV/atom